Sr2CuSi3Au4 | PBE-GGA | optimized geometry

Unit cell a=4.484 b=4.484 c=10.168 alpha=90.00 beta=90.00 gamma=90.00
Fractional coordinates of all 10 atoms:
Sr  0.000  0.500  0.246
Sr  0.500  0.000  0.754
Cu  0.500  0.500  0.000
Si  0.000  0.000  0.000
Si  0.000  0.500  0.630
Si  0.500  0.000  0.370
Au  0.000  0.000  0.500
Au  0.000  0.500  0.875
Au  0.500  0.000  0.125
Au  0.500  0.500  0.500

## Properties
**E_tot**: -4.148 eV per atom
**Crystal system**: tetragonal
**Raw formation energy**: -0.4640 eV/atom
**M_tot**: 0.00 μB per cell
**Space group**: No. 115

TcTe2S | PBE-GGA | optimized geometry

Unit cell a=7.068 b=7.068 c=7.068 alpha=123.98 beta=123.98 gamma=83.24
Fractional coordinates of all 8 atoms:
Tc  0.000  0.000  0.000
Tc  0.750  0.250  0.500
Te  0.085  0.625  0.960
Te  0.375  0.335  0.460
Te  0.665  0.125  0.040
Te  0.875  0.915  0.540
S  0.250  0.750  0.500
S  0.500  0.500  0.000

## Properties
**E_tot**: -4.740 eV per atom
**Crystal system**: tetragonal
**Raw formation energy**: 0.4547 eV/atom
**M_tot**: 0.00 μB per cell
**Space group**: No. 122

Ce3Pu3Ge4 | PBE-GGA | optimized geometry

Unit cell a=3.896 b=8.029 c=8.029 alpha=90.82 beta=90.00 gamma=90.00
Fractional coordinates of all 10 atoms:
Ce  0.000  0.000  0.000
Ce  0.000  0.493  0.763
Ce  0.000  0.763  0.493
Pu  0.000  0.258  0.258
Pu  0.500  0.129  0.625
Pu  0.500  0.625  0.129
Ge  0.500  0.292  0.966
Ge  0.500  0.461  0.461
Ge  0.500  0.793  0.793
Ge  0.500  0.966  0.292

## Properties
**E_tot**: -8.426 eV per atom
**Crystal system**: orthorhombic
**M_tot**: 7.60 μB per cell
**E_form**: -499 meV per atom
**Space group**: No. 38

H5RhSe | PBE-GGA | optimized geometry

Unit cell a=5.730 b=5.730 c=5.730 alpha=151.70 beta=121.82 gamma=65.93
Fractional coordinates of all 7 atoms:
H  0.000  0.000  0.000
H  0.054  0.386  0.668
H  0.644  0.501  0.858
H  0.644  0.786  0.142
H  0.718  0.386  0.332
Rh  0.839  0.839  0.000
Se  0.319  0.819  0.500

## Properties
**E_tot**: -3.828 eV per atom
**Crystal system**: orthorhombic
**M_tot**: 0.00 μB per cell
**Space group**: No. 44

RbSb2TeRu | PBE-GGA | optimized geometry

Unit cell a=5.093 b=5.093 c=6.118 alpha=90.00 beta=90.00 gamma=90.00
Fractional coordinates of all 5 atoms:
Rb  0.000  0.000  0.000
Sb  0.000  0.500  0.500
Sb  0.500  0.000  0.500
Te  0.500  0.500  0.000
Ru  0.500  0.500  0.500

## Properties
**E_tot**: -4.267 eV per atom
**Offset from the most stable computed form**: 0.000 eV/atom
**Crystal system**: tetragonal
**Raw formation energy**: 0.0592 eV/atom
**M_tot**: 0.15 μB per cell
**Space group**: No. 123

RhW2Au | PBE-GGA | optimized geometry

Unit cell a=4.971 b=4.971 c=2.774 alpha=90.00 beta=90.00 gamma=112.89
Fractional coordinates of all 4 atoms:
Rh  0.000  0.000  0.000
W  0.000  0.500  0.500
W  0.500  0.000  0.500
Au  0.500  0.500  0.000

## Properties
**E_tot**: -8.956 eV per atom
**Offset from the most stable computed form**: 0.067 eV/atom
**Crystal system**: orthorhombic
**M_tot**: 0.00 μB per cell
**E_form**: 178 meV per atom
**Space group**: No. 65

MgCuBr2 | PBE-GGA | optimized geometry

Unit cell a=4.900 b=4.900 c=3.518 alpha=90.00 beta=90.00 gamma=90.00
Fractional coordinates of all 4 atoms:
Mg  0.000  0.000  0.000
Cu  0.500  0.500  0.000
Br  0.000  0.500  0.500
Br  0.500  0.000  0.500

## Properties
**E_tot**: -2.400 eV per atom
**Offset from the most stable computed form**: 0.361 eV/atom
**Crystal system**: tetragonal
**Raw formation energy**: -0.1408 eV/atom
**M_tot**: 0.00 μB per cell
**Space group**: No. 123

CeYErLu | PBE-GGA | optimized geometry

Unit cell a=5.618 b=5.618 c=5.618 alpha=60.00 beta=60.00 gamma=60.00
Fractional coordinates of all 4 atoms:
Ce  0.000  0.000  0.000
Y  0.500  0.500  0.500
Er  0.750  0.750  0.750
Lu  0.250  0.250  0.250

## Properties
**E_tot**: -5.229 eV per atom
**Crystal system**: cubic
**M_tot**: 0.75 μB per cell
**E_form**: 142 meV per atom
**Space group**: No. 216

MnAgAs2Se | PBE-GGA | optimized geometry

Unit cell a=4.487 b=4.487 c=5.359 alpha=90.00 beta=90.00 gamma=90.00
Fractional coordinates of all 5 atoms:
Mn  0.000  0.000  0.000
Ag  0.500  0.500  0.500
As  0.000  0.500  0.000
As  0.500  0.000  0.000
Se  0.000  0.000  0.500

## Properties
**E_tot**: -4.579 eV per atom
**Offset from the most stable computed form**: 0.000 eV/atom
**Crystal system**: tetragonal
**Raw formation energy**: 0.3819 eV/atom
**M_tot**: 1.65 μB per cell
**Space group**: No. 123

Cd2CuPb | PBE-GGA | optimized geometry

Unit cell a=4.626 b=4.626 c=4.318 alpha=90.00 beta=90.00 gamma=102.95
Fractional coordinates of all 4 atoms:
Cd  0.000  0.500  0.000
Cd  0.500  0.000  0.000
Cu  0.000  0.000  0.500
Pb  0.500  0.500  0.500

## Properties
**E_tot**: -2.209 eV per atom
**Crystal system**: orthorhombic
**M_tot**: 0.00 μB per cell
**E_form**: 200 meV per atom
**Space group**: No. 65

Zn2CI | PBE-GGA | optimized geometry

Unit cell a=4.678 b=4.678 c=4.678 alpha=60.00 beta=60.00 gamma=60.00
Fractional coordinates of all 4 atoms:
Zn  0.250  0.250  0.250
Zn  0.750  0.750  0.750
C  0.000  0.000  0.000
I  0.500  0.500  0.500

## Properties
**E_tot**: -1.618 eV per atom
**Offset from the most stable computed form**: 1.197 eV/atom
**Crystal system**: cubic
**Raw formation energy**: 1.7128 eV/atom
**M_tot**: 0.00 μB per cell
**Space group**: No. 225

CaLaCo | PBE-GGA | optimized geometry

Unit cell a=7.632 b=7.632 c=6.136 alpha=98.18 beta=98.18 gamma=28.96
Fractional coordinates of all 6 atoms:
Ca  0.088  0.088  0.283
Ca  0.912  0.912  0.717
La  0.335  0.335  0.196
La  0.665  0.665  0.804
Co  0.255  0.255  0.631
Co  0.745  0.745  0.369

## Properties
**E_tot**: -4.724 eV per atom
**Offset from the most stable computed form**: 0.000 eV/atom
**Crystal system**: monoclinic
**M_tot**: 0.00 μB per cell
**E_form**: -45 meV per atom
**Space group**: No. 12